[1]
SmPaTe4 after structural relaxation, computed with PBE. Values from VASP.

Geometry as Quantum ESPRESSO input:
```
&SYSTEM
  ibrav = 0, nat = 6, ntyp = 3
/
ATOMIC_SPECIES
Sm 150.36 Sm.upf
Pa 231.04 Pa.upf
Te 127.60 Te.upf
CELL_PARAMETERS angstrom
4.4361 0.0000 0.0000
-2.2180 7.2665 -3.6068
0.0000 -0.2133 7.5918
ATOMIC_POSITIONS angstrom
Sm 0.0000 0.0000 0.0000
Pa 2.2180 -0.1066 3.7959
Te 2.2180 1.7031 1.4254
Te 2.2180 5.4566 -1.0145
Te 0.0000 5.3501 2.5596
Te 0.0000 1.5966 4.9995
```

Values from the calculation:
* space-group type: C2/m, No. 12
* magnetization: 0.00 μB per formula unit
* raw formation energy: -6.235 eV/f.u.
* uncorrected energy: -5.503 eV per atom
* E above lowest polymorph: 0.0000 eV per atom

[2]
Sm2Pa3Te8 after structural relaxation, computed with PBE. Values from VASP.

Geometry as Quantum ESPRESSO input:
```
&SYSTEM
  ibrav = 0, nat = 13, ntyp = 3
/
ATOMIC_SPECIES
Sm 150.36 Sm.upf
Pa 231.04 Pa.upf
Te 127.60 Te.upf
CELL_PARAMETERS angstrom
-4.5301 -3.6180 4.3899
-0.3386 -6.4358 -5.6537
7.4712 0.9700 4.9484
ATOMIC_POSITIONS angstrom
Sm 2.1587 -2.2892 2.4766
Sm 0.4437 -6.7947 1.2080
Pa -2.2650 -1.8090 2.1949
Pa -0.0792 -1.5054 -1.3224
Pa -0.2594 -4.9305 -4.3313
Te -2.6647 -6.9436 1.5637
Te 5.2671 -2.1403 2.1209
Te -2.1583 -3.8605 4.5239
Te 4.7608 -5.2233 -0.8393
Te 2.7672 -5.4077 2.8019
Te 2.9333 -2.2510 5.5749
Te -0.3308 -6.8328 -1.8903
Te -0.1647 -3.6762 0.8827
```

Values from the calculation:
* space-group type: C2/m, No. 12
* magnetization: 4.86 μB per formula unit
* raw formation energy: -12.290 eV/f.u.
* uncorrected energy: -5.796 eV per atom
* Fermi-level density of states: 13.15 states/eV per cell

[3]
SmPaTe2 after structural relaxation, computed with PBE. Values from VASP.

Geometry as Quantum ESPRESSO input:
```
&SYSTEM
  ibrav = 0, nat = 8, ntyp = 3
/
ATOMIC_SPECIES
Sm 150.36 Sm.upf
Pa 231.04 Pa.upf
Te 127.60 Te.upf
CELL_PARAMETERS angstrom
3.9986 0.0000 0.0000
0.0000 8.4882 0.0000
0.0000 0.0000 7.0204
ATOMIC_POSITIONS angstrom
Sm 1.9993 0.0000 3.5102
Sm 1.9993 4.2441 3.5102
Pa 0.0000 4.2441 0.0000
Pa 0.0000 0.0000 0.0000
Te 1.9993 6.3661 5.8752
Te 1.9993 2.1220 1.1453
Te 0.0000 2.1220 4.7255
Te 0.0000 6.3661 2.2950
```

Values from the calculation:
* space-group type: Pmma, No. 51
* magnetization: 1.28 μB per formula unit
* raw formation energy: -3.772 eV/f.u.
* uncorrected energy: -6.068 eV per atom
* E above lowest polymorph: 0.0019 eV per atom
* Fermi-level density of states: 14.06 states/eV per cell

[4]
SmPa2Te6 after structural relaxation, computed with PBE. Values from VASP.

Geometry as Quantum ESPRESSO input:
```
&SYSTEM
  ibrav = 0, nat = 18, ntyp = 3
/
ATOMIC_SPECIES
Sm 150.36 Sm.upf
Pa 231.04 Pa.upf
Te 127.60 Te.upf
CELL_PARAMETERS angstrom
7.3250 0.0000 0.0000
0.0000 7.3250 0.0000
0.0000 0.0000 13.3861
ATOMIC_POSITIONS angstrom
Sm 0.0000 0.0000 0.0000
Sm 3.6625 3.6625 6.6930
Pa 0.0000 0.0000 4.4630
Pa 3.6625 3.6625 11.1561
Pa 3.6625 3.6625 2.2300
Pa 0.0000 0.0000 8.9231
Te 2.1657 2.1657 4.3858
Te 5.1593 5.1593 4.3858
Te 1.4968 5.8282 11.0789
Te 5.8282 1.4968 11.0789
Te 1.4968 5.8282 2.3072
Te 5.8282 1.4968 2.3072
Te 2.1657 2.1657 9.0002
Te 5.1593 5.1593 9.0002
Te 2.2242 2.2242 0.0000
Te 5.1007 5.1007 0.0000
Te 1.4382 5.8867 6.6930
Te 5.8867 1.4382 6.6930
```

Values from the calculation:
* space-group type: P4_2/mnm, No. 136
* magnetization: 1.09 μB per formula unit
* raw formation energy: -7.698 eV/f.u.
* uncorrected energy: -5.584 eV per atom
* Fermi-level density of states: 12.26 states/eV per cell

[5]
Sm3PaTe6 after structural relaxation, computed with PBE. Values from VASP.

Geometry as Quantum ESPRESSO input:
```
&SYSTEM
  ibrav = 0, nat = 20, ntyp = 3
/
ATOMIC_SPECIES
Sm 150.36 Sm.upf
Pa 231.04 Pa.upf
Te 127.60 Te.upf
CELL_PARAMETERS angstrom
7.6681 0.0000 0.0000
0.0000 9.6833 0.0721
0.0000 -2.0905 9.4552
ATOMIC_POSITIONS angstrom
Sm 3.7317 7.3896 6.8212
Sm 7.5658 5.0002 8.7254
Sm 2.8306 2.7037 5.6345
Sm 6.6646 4.8891 3.8928
Sm 7.5658 0.2031 2.7061
Sm 3.7317 2.5926 0.8019
Pa 0.0146 -0.1717 7.9260
Pa 3.8486 7.7645 1.6013
Te 1.3189 5.4983 5.9879
Te 5.1529 4.6100 6.6959
Te 1.5794 2.3364 8.5700
Te 5.4134 7.8325 4.1899
Te 1.9501 -2.0358 9.4116
Te 4.8368 0.6695 7.2556
Te 1.0027 6.9232 2.2717
Te 5.7842 9.6286 0.1157
Te 1.5794 -0.2398 5.3374
Te 5.4134 5.2563 0.9573
Te 1.3189 2.9828 2.8314
Te 5.1529 2.0944 3.5394
```

Values from the calculation:
* space-group type: Cmc2_1, No. 36
* magnetization: 2.01 μB per formula unit
* raw formation energy: -11.263 eV/f.u.
* uncorrected energy: -5.377 eV per atom
* Fermi-level density of states: 14.98 states/eV per cell

[6]
SmPaTe2 after structural relaxation, computed with PBE. Values from VASP.

Geometry as Quantum ESPRESSO input:
```
&SYSTEM
  ibrav = 0, nat = 4, ntyp = 3
/
ATOMIC_SPECIES
Pa 231.04 Pa.upf
Te 127.60 Te.upf
Sm 150.36 Sm.upf
CELL_PARAMETERS angstrom
-2.1697 -2.6081 -1.6740
1.1504 -2.5753 2.5212
-5.7573 1.8746 4.5418
ATOMIC_POSITIONS angstrom
Pa -0.5097 -2.5917 0.4236
Te -4.3708 1.4231 3.4480
Te -1.3866 0.4515 1.0938
Sm -3.3883 -1.6544 2.6945
```

Values from the calculation:
* space-group type: P4/mmm, No. 123
* magnetization: 1.23 μB per formula unit
* raw formation energy: -3.780 eV/f.u.
* uncorrected energy: -6.070 eV per atom
* E above lowest polymorph: 0.0000 eV per atom
* Fermi-level density of states: 6.61 states/eV per cell

[7]
SmPaTe2 after structural relaxation, computed with PBE. Values from VASP.

Geometry as Quantum ESPRESSO input:
```
&SYSTEM
  ibrav = 0, nat = 4, ntyp = 3
/
ATOMIC_SPECIES
Pa 231.04 Pa.upf
Te 127.60 Te.upf
Sm 150.36 Sm.upf
CELL_PARAMETERS angstrom
-3.2872 0.8026 -4.1387
-5.2398 -0.9174 0.5312
-3.4367 4.0943 0.0710
ATOMIC_POSITIONS angstrom
Pa 0.0000 0.0000 0.0000
Te -2.9909 0.9949 -0.8841
Te -8.9728 2.9846 -2.6524
Sm -5.9819 1.9897 -1.7683
```

Values from the calculation:
* space-group type: Fm-3m, No. 225
* magnetization: 1.17 μB per formula unit
* raw formation energy: -3.611 eV/f.u.
* uncorrected energy: -6.027 eV per atom
* E above lowest polymorph: 0.0423 eV per atom
* Fermi-level density of states: 5.97 states/eV per cell

[8]
Sm2PaTl3Te6 after structural relaxation, computed with PBE. Values from VASP.

Geometry as Quantum ESPRESSO input:
```
&SYSTEM
  ibrav = 0, nat = 12, ntyp = 4
/
ATOMIC_SPECIES
Sm 150.36 Sm.upf
Pa 231.04 Pa.upf
Tl 204.38 Tl.upf
Te 127.60 Te.upf
CELL_PARAMETERS angstrom
-7.3568 -1.9485 -1.3537
3.6643 -2.8167 6.1961
-1.3147 8.0946 2.8501
ATOMIC_POSITIONS angstrom
Sm -0.0130 -2.5270 3.6770
Sm -3.6796 -2.2382 1.1653
Pa 0.0000 0.0000 0.0000
Tl 1.1520 1.3767 6.3504
Tl -6.1592 1.9527 1.3421
Tl -2.5036 1.6647 3.8463
Te -5.6557 2.8333 4.6846
Te -3.0409 -1.7731 4.2352
Te 0.6484 0.4961 3.0079
Te -2.0367 2.5481 7.1637
Te -1.9663 5.1025 3.4573
Te -2.9705 0.7813 0.5288
```

Values from the calculation:
* space-group type: C2/m, No. 12
* magnetization: 2.02 μB per formula unit
* raw formation energy: -10.759 eV/f.u.
* uncorrected energy: -4.637 eV per atom
* Fermi-level density of states: 9.17 states/eV per cell

[9]
SmPa3Tl3Te8 after structural relaxation, computed with PBE. Values from VASP.

Geometry as Quantum ESPRESSO input:
```
&SYSTEM
  ibrav = 0, nat = 15, ntyp = 4
/
ATOMIC_SPECIES
Sm 150.36 Sm.upf
Pa 231.04 Pa.upf
Tl 204.38 Tl.upf
Te 127.60 Te.upf
CELL_PARAMETERS angstrom
-0.2494 -8.3636 2.4490
7.2705 4.6688 1.1654
-7.4793 1.9951 6.0516
ATOMIC_POSITIONS angstrom
Sm -3.7396 0.9975 3.0258
Pa -3.8643 -3.1843 4.2503
Pa -0.2291 -0.8499 4.8330
Pa -0.1044 3.3319 3.6085
Tl 0.0000 0.0000 0.0000
Tl 3.6352 2.3344 0.5827
Tl 3.5105 -1.8474 1.8072
Te 1.6195 0.8133 2.9419
Te -2.0778 -2.5130 6.7240
Te 1.4446 -3.3703 4.1550
Te -1.9029 1.6706 5.5109
Te -2.1168 -5.6574 3.5844
Te 1.6586 3.9577 6.0816
Te -1.9947 -1.5602 2.3847
Te 1.5364 -0.1395 7.2813
```

Values from the calculation:
* space-group type: R-3m, No. 166
* magnetization: 5.05 μB per formula unit
* raw formation energy: -11.438 eV/f.u.
* uncorrected energy: -5.125 eV per atom
* Fermi-level density of states: 20.23 states/eV per cell

[10]
Sm2ThPa after structural relaxation, computed with PBE. Values from VASP.

Geometry as Quantum ESPRESSO input:
```
&SYSTEM
  ibrav = 0, nat = 4, ntyp = 3
/
ATOMIC_SPECIES
Pa 231.04 Pa.upf
Sm 150.36 Sm.upf
Th 232.04 Th.upf
CELL_PARAMETERS angstrom
3.4217 0.0000 0.0000
0.0000 3.4217 0.0000
0.0000 0.0000 10.4659
ATOMIC_POSITIONS angstrom
Pa 1.7109 1.7109 5.2330
Sm 0.0000 0.0000 7.6676
Sm 0.0000 0.0000 2.7983
Th 1.7109 1.7109 0.0000
```

Values from the calculation:
* space-group type: P4/mmm, No. 123
* magnetization: 0.00 μB per formula unit
* uncorrected energy: -6.390 eV per atom
* E above lowest polymorph: 0.0000 eV per atom
* Fermi-level density of states: 6.60 states/eV per cell

[11]
Sm2ThPa after structural relaxation, computed with PBE. Values from VASP.

Geometry as Quantum ESPRESSO input:
```
&SYSTEM
  ibrav = 0, nat = 4, ntyp = 3
/
ATOMIC_SPECIES
Pa 231.04 Pa.upf
Sm 150.36 Sm.upf
Th 232.04 Th.upf
CELL_PARAMETERS angstrom
3.4038 0.0000 0.0000
1.7019 2.9478 0.0000
1.7019 0.9826 12.2885
ATOMIC_POSITIONS angstrom
Pa 0.0000 0.0000 0.0000
Sm 1.7019 0.9826 9.0467
Sm 5.1057 2.9478 3.2417
Th 3.4038 1.9652 6.1442
```

Values from the calculation:
* space-group type: R-3m, No. 166
* magnetization: 0.00 μB per formula unit
* uncorrected energy: -6.272 eV per atom
* E above lowest polymorph: 0.1183 eV per atom
* Fermi-level density of states: 5.44 states/eV per cell

[12]
SmTmThPa after structural relaxation, computed with PBE. Values from VASP.

Geometry as Quantum ESPRESSO input:
```
&SYSTEM
  ibrav = 0, nat = 4, ntyp = 4
/
ATOMIC_SPECIES
Pa 231.04 Pa.upf
Tm 168.93 Tm.upf
Sm 150.36 Sm.upf
Th 232.04 Th.upf
CELL_PARAMETERS angstrom
-2.9761 1.7914 -4.3268
-5.3788 1.2028 0.6399
-1.7059 5.2761 -0.2000
ATOMIC_POSITIONS angstrom
Pa 0.0000 0.0000 0.0000
Tm -5.0304 4.1351 -1.9435
Sm -2.5152 2.0676 -0.9718
Th -7.5456 6.2027 -2.9153
```

Values from the calculation:
* space-group type: F-43m, No. 216
* magnetization: 0.83 μB per formula unit
* uncorrected energy: -6.173 eV per atom
* Fermi-level density of states: 12.81 states/eV per cell

[13]
SmPaTi2 after structural relaxation, computed with PBE. Values from VASP.

Geometry as Quantum ESPRESSO input:
```
&SYSTEM
  ibrav = 0, nat = 4, ntyp = 3
/
ATOMIC_SPECIES
Pa 231.04 Pa.upf
Sm 150.36 Sm.upf
Ti 47.87 Ti.upf
CELL_PARAMETERS angstrom
-0.5874 0.0094 -3.6137
1.7334 -3.2117 -0.2901
-6.0500 -3.3532 0.9747
ATOMIC_POSITIONS angstrom
Pa 0.5730 -1.6012 -1.9519
Sm -2.4520 -3.2778 -1.4645
Ti -4.8673 -2.6977 0.7842
Ti -1.1827 -0.6555 0.1905
```

Values from the calculation:
* space-group type: P4/mmm, No. 123
* magnetization: 0.00 μB per formula unit
* uncorrected energy: -7.362 eV per atom
* Fermi-level density of states: 6.20 states/eV per cell